[1]
# AcSiNi

A relaxed AcSiNi crystal (GGA-PBE, Alexandria).

Geometry as POSCAR:
```
AcSiNi
1.0
-3.517 0.701 -2.806
-2.615 -0.804 3.077
1.289 3.856 -0.652
Ni Ac Si
1 1 1
direct
0.167 0.000 0.000
0.667 0.667 0.333
0.167 0.333 0.667
```

## Properties
Symmetry = P-6m2, No. 187
Crystal system = hexagonal
Formation energy (no corrections) = -0.624 eV per atom
Energy above the lowest structure with this stoichiometry = 27 meV per atom



[2]
# HfZr3N4

A relaxed HfZr3N4 crystal (GGA-PBE, Alexandria).

Geometry as POSCAR:
```
HfZr3N4
1.0
3.211 0.000 0.490
1.568 2.802 0.490
-0.007 -0.004 10.807
Hf Zr N
1 3 4
direct
0.000 0.000 0.000
0.750 0.750 0.750
0.500 0.500 0.500
0.250 0.250 0.250
0.627 0.627 0.118
0.875 0.875 0.375
0.373 0.373 0.882
0.125 0.125 0.625
```

## Properties
Symmetry = R-3m, No. 166
Crystal system = trigonal
Formation energy (no corrections) = -1.704 eV per atom
Energy above the lowest structure with this stoichiometry = 0 meV per atom



[3]
# Pr2TeRh

A relaxed Pr2TeRh crystal (GGA-PBE, Alexandria).

Geometry as POSCAR:
```
Pr2TeRh
1.0
4.597 0.000 0.000
0.000 4.096 -0.728
0.000 0.039 12.115
Pr Te Rh
4 2 2
direct
0.750 0.661 0.322
0.250 0.339 0.678
0.750 0.943 0.887
0.250 0.057 0.113
0.250 0.194 0.388
0.750 0.806 0.612
0.250 0.458 0.917
0.750 0.542 0.083
```

## Properties
Symmetry = Cmcm, No. 63
Crystal system = orthorhombic
Formation energy (no corrections) = -0.997 eV per atom
Energy above the lowest structure with this stoichiometry = 1 meV per atom



[4]
# SbOsAu4

A relaxed SbOsAu4 crystal (GGA-PBE, Alexandria).

Geometry as POSCAR:
```
SbOsAu4
1.0
4.417 -1.290 3.003
-0.585 -1.429 5.273
0.847 -5.204 1.547
Sb Os Au
1 1 4
direct
0.000 0.000 0.000
0.750 0.750 0.750
0.874 0.375 0.375
0.375 0.375 0.874
0.375 0.874 0.375
0.375 0.375 0.375
```

## Properties
Symmetry = F-43m, No. 216
Crystal system = cubic
Formation energy (no corrections) = 0.741 eV per atom



[5]
# Sm7Ir2Pb2

A relaxed Sm7Ir2Pb2 crystal (GGA-PBE, Alexandria).

Geometry as POSCAR:
```
Sm7Ir2Pb2
1.0
-5.102 2.156 4.287
-1.999 -6.939 1.109
5.597 -0.958 4.100
Sm Ir Pb
7 2 2
direct
0.000 0.244 0.500
0.500 0.756 0.000
0.000 0.756 0.500
0.500 0.244 0.000
0.000 0.000 0.000
0.500 0.768 0.500
0.500 0.232 0.500
0.717 0.000 0.283
0.283 0.000 0.717
0.815 0.500 0.815
0.185 0.500 0.185
```

## Properties
Energy of formation from the pure elements = -448 meV/atom
Symmetry = Cmmm, No. 65
Crystal system = orthorhombic



[6]
# Li5GaPd

A relaxed Li5GaPd crystal (GGA-PBE, Alexandria).

Geometry as POSCAR:
```
Li5GaPd
1.0
-0.807 2.547 4.734
-4.935 0.535 2.215
0.167 -7.293 5.553
Li Ga Pd
10 2 2
direct
0.820 0.727 0.192
0.334 0.387 0.526
0.727 0.820 0.692
0.261 0.739 0.250
0.613 0.666 0.974
0.387 0.334 0.026
0.739 0.261 0.750
0.273 0.180 0.308
0.666 0.613 0.474
0.180 0.273 0.808
0.756 0.244 0.250
0.244 0.756 0.750
0.000 0.000 0.000
0.000 0.000 0.500
```

## Properties
Energy of formation from the pure elements = -230 meV/atom
Symmetry = C2/c, No. 15
Crystal system = monoclinic



[7]
# DyFeSiH

A relaxed DyFeSiH crystal (GGA-PBE, Alexandria).

Geometry as POSCAR:
```
DyFeSiH
1.0
3.889 0.000 0.000
0.000 3.889 0.000
0.000 0.000 7.248
Dy Fe Si H
2 2 2 2
direct
0.500 0.000 0.665
0.000 0.500 0.335
0.500 0.500 0.000
0.000 0.000 0.000
0.000 0.500 0.838
0.500 0.000 0.162
0.000 0.000 0.500
0.500 0.500 0.500
```

## Properties
Symmetry = P4/nmm, No. 129
Total DFT energy (no corrections) = -49.01 eV for the cell shown
Crystal system = tetragonal



[8]
# Sm3Mg

A relaxed Sm3Mg crystal (GGA-PBE, Alexandria).

Geometry as POSCAR:
```
Sm3Mg
1.0
3.438 0.000 0.000
0.000 3.440 0.000
0.000 0.000 11.028
Mg Sm
1 3
direct
0.000 0.000 0.971
0.000 0.500 0.470
0.500 0.500 0.186
0.500 0.000 0.707
```

## Properties
Energy of formation from the pure elements = 184 meV/atom
Symmetry = Pmm2, No. 25
Crystal system = orthorhombic